Compound: PrErCdAu
Source: the Alexandria database
Functional: PBE
Structure: relaxed

Lattice parameters (Å, degrees): 3.694 3.694 7.580 90.00 90.00 90.00
Site moments in Bohr magnetons follow the coordinates.
Positions (direct):
Pr: 0.000 0.000 0.865  0.12
Er: 0.000 0.000 0.337  0.00
Cd: 0.500 0.500 0.586  0.01
Au: 0.500 0.500 0.139  0.01

Values from the calculation:
Formation enthalpy at 0 K, eV/atom: -0.57
Size of the total moment, μB/f.u.: 0.2
N(E_F), states/eV per atom: 1.021
Total energy, eV per cell: -15.80
Relative energy among the computed polymorphs, meV/atom: 0.0


Compound: Er4CdPtAu2
Source: the Alexandria database
Functional: PBE
Structure: relaxed

Lattice parameters (Å, degrees): 5.046 5.046 8.782 73.30 73.30 60.00
Positions (direct):
Er: 0.383 0.383 0.852
Er: 0.869 0.869 0.393
Er: 0.131 0.131 0.607
Er: 0.617 0.617 0.148
Cd: 0.000 0.000 0.000
Pt: 0.500 0.500 0.500
Au: 0.739 0.739 0.782
Au: 0.261 0.261 0.218

Values from the calculation:
Formation enthalpy at 0 K, eV/atom: -0.85
Size of the total moment, μB/f.u.: 0.0
N(E_F), states/eV per atom: 0.419
Total energy, eV per cell: -38.59